A plane-wave DFT calculation with GGA-PBE was carried out for a relaxed Li7ZnCu3 crystal.

a = 2.624 Å, b = 10.708 Å, c = 12.143 Å
α = 90.00°, β = 90.00°, γ = 97.04°
Positions (direct):
1 Li 0.443 0.886 0.630
2 Li 0.680 0.361 0.250
3 Li 0.590 0.181 0.912
4 Li 0.557 0.114 0.130
5 Li 0.590 0.181 0.588
6 Li 0.557 0.114 0.370
7 Li 0.410 0.819 0.412
8 Li 0.410 0.819 0.088
9 Li 0.279 0.557 0.104
10 Li 0.320 0.639 0.750
11 Li 0.721 0.443 0.896
12 Li 0.721 0.443 0.604
13 Li 0.279 0.557 0.396
14 Li 0.443 0.886 0.870
15 Cu 0.160 0.319 0.059
16 Cu 0.160 0.319 0.441
17 Cu 0.848 0.696 0.250
18 Cu 0.840 0.681 0.559
19 Cu 0.152 0.304 0.750
20 Cu 0.840 0.681 0.941
21 Zn 0.969 0.938 0.250
22 Zn 0.031 0.062 0.750

Output
D(E_F) = 0.40 states/eV/atom
Theoretical density = 2.99 g/cm3
Formation energy from the elements = -14 meV per atom
E = -2.465 eV per atom